SrGd2Ga: relaxed, PBE-GGA.

Cell lengths 3.6983, 3.6983, 9.6187 Å; angles 90.00, 90.00, 90.00 degrees
Element x y z (fractional)
1 Sr 0.0000 0.0000 0.0000
2 Gd 0.5000 0.5000 0.3265
3 Gd 0.5000 0.5000 0.6735
4 Ga 0.0000 0.0000 0.5000

## Properties
The value obtained for the formation energy is -210 meV per atom. The energy above the most stable polymorph in this dataset is 0.00 eV/f.u. Its symmetry is P4/mmm. For the density of states at the Fermi level, the calculation gives 1.113 states/eV per atom.

***

SrGdTlGa: relaxed, PBE-GGA.

Cell lengths 5.4621, 5.4621, 5.4621 Å; angles 60.00, 60.00, 60.00 degrees
Element x y z (fractional)
1 Sr 0.0000 0.0000 0.0000
2 Gd 0.5000 0.5000 0.5000
3 Tl 0.7500 0.7500 0.7500
4 Ga 0.2500 0.2500 0.2500

## Properties
The value obtained for the formation energy is -358 meV per atom. Its symmetry is F-43m. For the density of states at the Fermi level, the calculation gives 0.989 states/eV per atom.

***

GdTaGa2: relaxed, PBE-GGA.

Cell lengths 9.7351, 9.7351, 9.7351 Å; angles 18.40, 18.40, 18.40 degrees
Element x y z (fractional)
1 Gd 0.0000 0.0000 0.0000
2 Ta 0.5000 0.5000 0.5000
3 Ga 0.2436 0.2436 0.2436
4 Ga 0.7564 0.7564 0.7564

## Properties
The value obtained for the formation energy is -51 meV per atom. Its symmetry is R-3m. For the density of states at the Fermi level, the calculation gives 0.905 states/eV per atom.

***

Tb2GdGa: relaxed, PBE-GGA.

Cell lengths 3.5431, 3.5431, 8.9074 Å; angles 90.00, 90.00, 90.00 degrees
Element x y z (fractional)
1 Tb 0.0000 0.0000 0.2078
2 Tb 0.0000 0.0000 0.7922
3 Gd 0.5000 0.5000 0.5000
4 Ga 0.5000 0.5000 0.0000

## Properties
The value obtained for the formation energy is -271 meV per atom. The energy above the most stable polymorph in this dataset is 0.00 eV/f.u. Its symmetry is P4/mmm. For the density of states at the Fermi level, the calculation gives 1.085 states/eV per atom.

***

TbGdGa4: relaxed, PBE-GGA.

Cell lengths 5.5341, 5.5341, 5.5341 Å; angles 60.00, 60.00, 60.00 degrees
Element x y z (fractional)
1 Tb 0.0000 0.0000 0.0000
2 Gd 0.2500 0.2500 0.2500
3 Ga 0.1252 0.6249 0.6249
4 Ga 0.6249 0.1252 0.6249
5 Ga 0.6249 0.6249 0.1252
6 Ga 0.6249 0.6249 0.6249

## Properties
The value obtained for the formation energy is -568 meV per atom. Its symmetry is F-43m. For the density of states at the Fermi level, the calculation gives 0.530 states/eV per atom.

***

Tb2GdGa: relaxed, PBE-GGA.

Cell lengths 4.7559, 4.7559, 4.7150 Å; angles 90.00, 90.00, 90.00 degrees
Element x y z (fractional)
1 Tb 0.0000 0.5000 0.0000
2 Tb 0.5000 0.0000 0.0000
3 Gd 0.0000 0.0000 0.5000
4 Ga 0.5000 0.5000 0.5000

## Properties
The value obtained for the formation energy is -255 meV per atom. The energy above the most stable polymorph in this dataset is 0.06 eV/f.u. Its symmetry is P4/mmm. For the density of states at the Fermi level, the calculation gives 0.998 states/eV per atom.